(1)
Below is crystalline HF at its relaxed geometry, with properties calculated at the PBE level.

a = 4.2905 Å, b = 4.2905 Å, c = 4.2905 Å
α = 90.00°, β = 90.00°, γ = 90.00°
Last column: nearest neighbours and their distance in Å.
Fractional positions:
1 H 0.2500 0.0000 0.5000  4 F 1.52
2 H 0.7500 0.0000 0.5000  4 F 1.52
3 H 0.0000 0.5000 0.2500  4 F 1.52
4 H 0.0000 0.5000 0.7500  4 F 1.52
5 H 0.5000 0.2500 0.0000  4 F 1.52
6 H 0.5000 0.7500 0.0000  4 F 1.52
7 F 0.2500 0.5000 0.0000  4 H 1.52
8 F 0.7500 0.5000 0.0000  4 H 1.52
9 F 0.5000 0.0000 0.2500  4 H 1.52
10 F 0.5000 0.0000 0.7500  4 H 1.52
11 F 0.0000 0.2500 0.5000  4 H 1.52
12 F 0.0000 0.7500 0.5000  4 H 1.52

Calculated values
SG: Pm-3n, No. 223
Size of the total moment (μB per atom): 0.00
Electronic total energy (eV/f.u.): -6.88

---

(2)
Below is crystalline MgMoRh2 at its relaxed geometry, with properties calculated at the PBE level.

a = 2.7600 Å, b = 2.7600 Å, c = 8.1055 Å
α = 90.00°, β = 90.00°, γ = 89.96°
Last column: nearest neighbours and their distance in Å.
Fractional positions:
1 Mg 0.0000 0.0000 0.4820  4 Rh 2.74, 4 Mg 2.76, 4 Mo 3.02
2 Mo 0.5000 0.5000 0.7669  4 Rh 2.75, 4 Mo 2.76, 4 Mg 3.02
3 Rh 0.0000 0.0000 0.0065  8 Rh 2.74-2.76, 4 Mo 2.75
4 Rh 0.5000 0.5000 0.2446  4 Mg 2.74, 8 Rh 2.74-2.76

Calculated values
SG: P4mm, No. 99
ΔH_f (0 K) (kJ/mol of formula units): 11.2
Size of the total moment (μB per atom): 0.00

---

(3)
Below is crystalline LiZrO2F at its relaxed geometry, with properties calculated at the PBE level.

a = 3.6723 Å, b = 3.6723 Å, c = 3.3175 Å
α = 90.00°, β = 90.00°, γ = 90.00°
Last column: nearest neighbours and their distance in Å.
Fractional positions:
1 Li 0.0000 0.0000 0.0000  2 F 1.66, 4 O 1.84
2 O 0.0000 0.5000 0.0000  2 Li 1.84
3 O 0.5000 0.0000 0.0000  2 Li 1.84
4 Zr 0.5000 0.5000 0.5000  8 O 2.47, 4 F 2.60
5 F 0.0000 0.0000 0.5000  2 Li 1.66

Calculated values
SG: P4/mmm, No. 123
Formation energy from raw total energies (eV/atom): -2.25
Size of the total moment (μB per atom): 0.00

---

(4)
Below is crystalline NpGe3 at its relaxed geometry, with properties calculated at the PBE level.

a = 2.9376 Å, b = 5.3078 Å, c = 5.8619 Å
α = 116.92°, β = 104.51°, γ = 90.00°
Last column: nearest neighbours and their distance in Å.
Fractional positions:
1 Np 0.0000 0.0157 0.0000  2 Np 2.94, 10 Ge 3.01-3.06
2 Ge 0.2530 0.5734 0.5060  9 Ge 2.94-3.10, 3 Np 3.01-3.06
3 Ge 0.5000 0.5103 0.0000  8 Ge 2.94-3.10, 4 Np 3.01-3.06
4 Ge 0.7470 0.0673 0.4940  9 Ge 2.94-3.10, 3 Np 3.01-3.06

Calculated values
SG: Imm2, No. 44
ΔH_f (0 K) (kJ/mol of formula units): -1.7
Size of the total moment (μB per atom): 0.91

---

(5)
Below is crystalline SrCaMg2 at its relaxed geometry, with properties calculated at the PBE level.

a = 6.9142 Å, b = 6.9142 Å, c = 6.9142 Å
α = 147.34°, β = 129.38°, γ = 61.55°
Last column: nearest neighbours and their distance in Å.
Fractional positions:
1 Sr 0.5177 0.5177 0.0000  6 Mg 3.57-3.64, 4 Ca 3.86-3.96, 2 Sr 3.89
2 Ca 0.2269 0.7269 0.5000  6 Mg 3.53-3.59, 2 Sr 3.86, 2 Ca 3.89
3 Mg 0.9784 0.9784 0.0000  2 Mg 3.08
4 Mg 0.7770 0.2770 0.5000  2 Mg 3.08

Calculated values
SG: Imm2, No. 44
ΔH_f (0 K) (kJ/mol of formula units): -11.8
Size of the total moment (μB per atom): 0.00

---

(6)
Below is crystalline CuAsPd3 at its relaxed geometry, with properties calculated at the PBE level.

a = 4.3199 Å, b = 5.3215 Å, c = 7.3807 Å
α = 118.00°, β = 90.00°, γ = 90.00°
Last column: nearest neighbours and their distance in Å.
Fractional positions:
1 Cu 0.4783 0.7608 0.6865  1 As 2.48, 7 Pd 2.56-2.75
2 Cu 0.9783 0.1408 0.9607  1 As 2.48, 7 Pd 2.56-2.75
3 As 0.9727 0.6688 0.1475  4 Pd 2.45-2.66, 1 Cu 2.48
4 As 0.4727 0.2328 0.4997  4 Pd 2.45-2.66, 1 Cu 2.48
5 Pd 0.4782 0.3050 0.8525  1 As 2.45, 3 Cu 2.56-2.59
6 Pd 0.4763 0.9539 0.0923  3 As 2.66-2.79, 3 Cu 2.67-2.75, 3 Pd 2.90-2.95
7 Pd 0.9727 0.3101 0.3599  2 As 2.51, 1 Cu 2.65
8 Pd 0.9782 0.5965 0.7947  1 As 2.45, 3 Cu 2.56-2.59
9 Pd 0.9763 0.9476 0.5549  3 As 2.66-2.79, 3 Cu 2.67-2.75, 3 Pd 2.90-2.95
10 Pd 0.4727 0.5915 0.2873  2 As 2.51, 1 Cu 2.65

Calculated values
SG: P2_1, No. 4
ΔH_f (0 K) (kJ/mol of formula units): -113.7
Size of the total moment (μB per atom): 0.00

---

(7)
Below is crystalline Ac3PmPb12 at its relaxed geometry, with properties calculated at the PBE level.

a = 5.0486 Å, b = 5.0486 Å, c = 19.9482 Å
α = 90.00°, β = 90.00°, γ = 90.00°
Last column: nearest neighbours and their distance in Å.
Fractional positions:
1 Ac 0.0000 0.0000 0.2453  12 Pb 3.57-3.58
2 Ac 0.0000 0.0000 0.5000  12 Pb 3.57-3.58
3 Ac 0.0000 0.0000 0.7547  12 Pb 3.57-3.58
4 Pm 0.0000 0.0000 0.0000  12 Pb 3.46-3.57
5 Pb 0.5000 0.5000 0.0000  8 Pb 3.46, 4 Pm 3.57
6 Pb 0.5000 0.5000 0.2462  8 Pb 3.57-3.59, 4 Ac 3.57
7 Pb 0.5000 0.5000 0.5000  4 Ac 3.57, 8 Pb 3.58
8 Pb 0.5000 0.5000 0.7538  8 Pb 3.57-3.59, 4 Ac 3.57
9 Pb 0.5000 0.0000 0.1185  8 Pb 3.46-3.59, 2 Pm 3.46, 2 Ac 3.57
10 Pb 0.5000 0.0000 0.3726  8 Pb 3.57-3.58, 4 Ac 3.58
11 Pb 0.5000 0.0000 0.6274  8 Pb 3.57-3.58, 4 Ac 3.58
12 Pb 0.5000 0.0000 0.8815  8 Pb 3.46-3.59, 2 Pm 3.46, 2 Ac 3.57
13 Pb 0.0000 0.5000 0.1185  8 Pb 3.46-3.59, 2 Pm 3.46, 2 Ac 3.57
14 Pb 0.0000 0.5000 0.3726  8 Pb 3.57-3.58, 4 Ac 3.58
15 Pb 0.0000 0.5000 0.6274  8 Pb 3.57-3.58, 4 Ac 3.58
16 Pb 0.0000 0.5000 0.8815  8 Pb 3.46-3.59, 2 Pm 3.46, 2 Ac 3.57

Calculated values
SG: P4/mmm, No. 123
ΔH_f (0 K) (kJ/mol of formula units): -618.4
Size of the total moment (μB per atom): 0.00

---

(8)
Below is crystalline SmAsPt4 at its relaxed geometry, with properties calculated at the PBE level.

a = 4.1888 Å, b = 7.0962 Å, c = 7.3728 Å
α = 90.00°, β = 90.00°, γ = 90.00°
Last column: nearest neighbours and their distance in Å.
Fractional positions:
1 Sm 0.0000 0.6352 0.7500  1 As 2.86, 8 Pt 2.98-3.18
2 Sm 0.0000 0.3648 0.2500  1 As 2.86, 8 Pt 2.98-3.18
3 As 0.0000 0.2322 0.7500  6 Pt 2.47-2.61
4 As 0.0000 0.7678 0.2500  6 Pt 2.47-2.61
5 Pt 0.0000 0.0000 0.5000  2 As 2.47
6 Pt 0.0000 0.0000 0.0000  2 As 2.47
7 Pt 0.5000 0.9335 0.7500  8 Pt 2.79-3.02, 2 Sm 2.98, 2 As 2.98
8 Pt 0.5000 0.0665 0.2500  8 Pt 2.79-3.02, 2 Sm 2.98, 2 As 2.98
9 Pt 0.5000 0.6945 0.0504  2 As 2.61, 2 Pt 2.79-2.86
10 Pt 0.5000 0.3055 0.9496  2 As 2.61, 2 Pt 2.79-2.86
11 Pt 0.5000 0.6945 0.4496  2 As 2.61, 2 Pt 2.79-2.86
12 Pt 0.5000 0.3055 0.5504  2 As 2.61, 2 Pt 2.79-2.86

Calculated values
SG: Pmma, No. 51
ΔH_f (0 K) (kJ/mol of formula units): -367.6
Size of the total moment (μB per atom): 0.00

---

(9)
Below is crystalline Na3Tb2CeS6 at its relaxed geometry, with properties calculated at the PBE level.

a = 7.0196 Å, b = 7.0196 Å, c = 7.0715 Å
α = 99.52°, β = 99.52°, γ = 120.01°
Last column: nearest neighbours and their distance in Å.
Fractional positions:
1 Na 0.1669 0.8331 0.5000  6 S 2.92-2.98
2 Na 0.8331 0.1669 0.5000  6 S 2.92-2.98
3 Na 0.5000 0.5000 0.5000  6 S 2.92-2.98
4 Tb 0.3333 0.6667 0.0000  6 S 2.77-2.78
5 Tb 0.6667 0.3333 0.0000  6 S 2.77-2.78
6 Ce 0.0000 0.0000 0.0000  6 S 2.83-2.84
7 S 0.9237 0.5836 0.7711  2 Tb 2.77, 1 Ce 2.83, 3 Na 2.92-2.98
8 S 0.7364 0.7364 0.2297  2 Tb 2.78, 1 Ce 2.84, 3 Na 2.92-2.98
9 S 0.0763 0.4164 0.2289  2 Tb 2.77, 1 Ce 2.83, 3 Na 2.92-2.98
10 S 0.5836 0.9237 0.7711  2 Tb 2.77, 1 Ce 2.83, 3 Na 2.92-2.98
11 S 0.2636 0.2636 0.7703  2 Tb 2.78, 1 Ce 2.84, 3 Na 2.92-2.98
12 S 0.4164 0.0763 0.2289  2 Tb 2.77, 1 Ce 2.83, 3 Na 2.92-2.98

Calculated values
SG: C2/m, No. 12
Formation energy from raw total energies (eV/atom): -1.80
Size of the total moment (μB per atom): 0.08

---

(10)
Below is crystalline HgIrN2 at its relaxed geometry, with properties calculated at the PBE level.

a = 6.5189 Å, b = 6.5189 Å, c = 6.5189 Å
α = 28.37°, β = 28.37°, γ = 28.37°
Last column: nearest neighbours and their distance in Å.
Fractional positions:
1 Ir 0.5000 0.5000 0.5000  6 N 2.07
2 Hg 0.0000 0.0000 0.0000  2 N 2.18
3 N 0.8840 0.8840 0.8840  3 Ir 2.07, 1 Hg 2.18
4 N 0.1160 0.1160 0.1160  3 Ir 2.07, 1 Hg 2.18

Calculated values
SG: R-3m, No. 166
Formation energy from raw total energies (eV/atom): 0.73
Size of the total moment (μB per atom): 0.00

---

(11)
Below is crystalline Ti2BeHg at its relaxed geometry, with properties calculated at the PBE level.

a = 4.5216 Å, b = 4.5216 Å, c = 4.5216 Å
α = 60.00°, β = 60.00°, γ = 60.00°
Last column: nearest neighbours and their distance in Å.
Fractional positions:
1 Be 0.0000 0.0000 0.0000  8 Ti 2.77
2 Hg 0.5000 0.5000 0.5000  8 Ti 2.77
3 Ti 0.2500 0.2500 0.2500  4 Hg 2.77, 4 Be 2.77
4 Ti 0.7500 0.7500 0.7500  4 Hg 2.77, 4 Be 2.77

Calculated values
SG: Fm-3m, No. 225
ΔH_f (0 K) (kJ/mol of formula units): 48.2
Size of the total moment (μB per atom): 0.00

---

(12)
Below is crystalline SrAsCl2 at its relaxed geometry, with properties calculated at the PBE level.

a = 3.5153 Å, b = 3.5153 Å, c = 10.8387 Å
α = 90.00°, β = 90.00°, γ = 90.00°
Last column: nearest neighbours and their distance in Å.
Fractional positions:
1 Sr 0.5000 0.5000 0.2500  8 Cl 2.98
2 As 0.5000 0.5000 0.7500  4 As 3.52
3 Cl 0.0000 0.0000 0.0986  4 Sr 2.98, 1 Cl 3.28
4 Cl 0.0000 0.0000 0.4014  4 Sr 2.98, 1 Cl 3.28

Calculated values
SG: P4/mmm, No. 123
Formation energy from raw total energies (eV/atom): -1.08
Size of the total moment (μB per atom): 0.30

---

Q: Among the records above, which one has the highest size of the total moment?
A: NpGe3